Entry 1:
This record from the Alexandria database describes a relaxed structure of YPuZnPd. The functional is PBE-GGA.

a b c (Å): 5.031 5.031 5.031
angles (deg): 60.00 60.00 60.00
Site moments in Bohr magnetons follow the coordinates.
Element x y z (fractional)
Zn1 0.750 0.750 0.750  0.01
Pd1 0.250 0.250 0.250  -0.04
Pu1 0.500 0.500 0.500  5.28
Y1 0.000 0.000 0.000  0.05

Calculated values
Crystal system: cubic
Fermi-level density of states, states/eV per atom: 2.4191
Calculated volume, Å³ per cell: 90.1


Entry 2:
This record from the Alexandria database describes a relaxed structure of Pu4ZnPd3. The functional is PBE-GGA.

a b c (Å): 3.101 5.305 10.598
angles (deg): 90.00 90.00 90.00
Site moments in Bohr magnetons follow the coordinates.
Element x y z (fractional)
Pu1 0.000 0.000 0.000  5.45
Pd1 0.500 0.500 0.500  0.01
Zn1 0.500 0.500 0.000  0.04
Pd2 0.500 0.000 0.250  0.00
Pu2 0.000 0.500 0.745  5.43
Pd3 0.500 0.000 0.750  0.00
Pu3 0.000 0.500 0.255  5.43
Pu4 0.000 0.000 0.500  5.40

Calculated values
Crystal system: orthorhombic
Fermi-level density of states, states/eV per atom: 4.2516
Calculated volume, Å³ per cell: 174.3


Entry 3:
This record from the Alexandria database describes a relaxed structure of Pu5ZnPd4. The functional is PBE-GGA.

a b c (Å): 4.237 7.127 8.038
angles (deg): 70.12 105.28 90.00
Site moments in Bohr magnetons follow the coordinates.
Element x y z (fractional)
Pu1 0.835 0.233 0.670  5.39
Pd1 0.971 0.816 0.941  -0.02
Pu2 0.500 0.500 0.000  5.44
Pu3 0.825 0.652 0.650  5.49
Pu4 0.175 0.348 0.350  5.49
Pu5 0.165 0.767 0.330  5.39
Pd2 0.330 0.940 0.659  0.01
Pd3 0.029 0.184 0.059  -0.02
Pd4 0.670 0.060 0.341  0.01
Zn1 0.500 0.000 0.000  0.01

Calculated values
Crystal system: monoclinic
Fermi-level density of states, states/eV per atom: 3.5252
Calculated volume, Å³ per cell: 219.1


Entry 4:
This record from the Alexandria database describes a relaxed structure of Pu2Zn3Pd2. The functional is PBE-GGA.

a b c (Å): 3.415 6.263 7.169
angles (deg): 122.75 90.00 105.82
Site moments in Bohr magnetons follow the coordinates.
Element x y z (fractional)
Pd1 0.174 0.349 0.301  0.00
Pd2 0.826 0.651 0.699  0.00
Pu1 0.807 0.614 0.128  0.37
Zn1 0.500 0.000 0.000  0.00
Zn2 0.568 0.135 0.421  0.00
Pu2 0.193 0.386 0.872  0.37
Zn3 0.432 0.865 0.579  0.00

Calculated values
Crystal system: monoclinic
Fermi-level density of states, states/eV per atom: 1.2498
Calculated volume, Å³ per cell: 122.0


no.,ΔE_f (eV/atom),total magnetic moment (μB/cell)
1,-0.36,5.6
2,-0.29,23.0
3,-0.19,28.5
4,-0.15,0.7